This record from Alexandria via LeMat-Bulk describes Y2Nb2Cu after structural relaxation. The functional is PBE-GGA.

```
Y2Nb2Cu
1.0
6.895 0.000 0.000
0.000 6.895 0.000
0.000 0.000 4.743
Y Nb Cu
4 4 2
Cartesian
1.182 2.265 0.000 Y
2.265 5.713 0.000 Y
4.630 1.182 0.000 Y
5.713 4.630 0.000 Y
0.925 4.373 2.372 Nb
2.522 0.925 2.372 Nb
4.373 5.970 2.372 Nb
5.970 2.522 2.372 Nb
0.000 0.000 2.372 Cu
3.448 3.448 2.372 Cu
```

Distance to the lowest polymorph of the same formula   0.0000 eV per atom
Energy of formation   0.338 eV/atom
Space-group type   P4/mbm (127)
Volume   22.6 Å³ per atom